# Th5CoPt4 (PBE, optimized geometry)
data_Th5CoPt4
_chemical_formula_sum 'Th10 Co2 Pt8'
_symmetry_space_group_name_H-M 'I 4/m'
_symmetry_Int_Tables_number 87
_symmetry_space_group_name_Hall '-I 4'
_cell_length_a 9.279
_cell_length_b 9.279
_cell_length_c 5.883
_cell_angle_alpha 90.00
_cell_angle_beta 90.00
_cell_angle_gamma 90.00
loop_
_atom_site_label
_atom_site_type_symbol
_atom_site_fract_x
_atom_site_fract_y
_atom_site_fract_z
Th1 Th 0.000 0.000 0.000
Th2 Th 0.098 0.284 0.500
Co1 Co 0.000 0.000 0.500
Pt1 Pt 0.093 0.303 0.000
# ΔH_f (0 K)   -10.1 eV per formula unit
# Total moment   0.00 μB per cell

# Nd2HoCd2 (PBE, optimized geometry)
data_Nd2HoCd2
_chemical_formula_sum 'Nd8 Ho4 Cd8'
_symmetry_space_group_name_H-M 'C m c m'
_symmetry_Int_Tables_number 63
_symmetry_space_group_name_Hall '-C 2c 2'
_cell_length_a 3.716
_cell_length_b 28.529
_cell_length_c 5.442
_cell_angle_alpha 90.00
_cell_angle_beta 90.00
_cell_angle_gamma 90.00
loop_
_atom_site_label
_atom_site_type_symbol
_atom_site_fract_x
_atom_site_fract_y
_atom_site_fract_z
Nd1 Nd 0.000 0.043 0.250
Nd2 Nd 0.000 0.234 0.250
Ho1 Ho 0.000 0.150 0.750
Cd1 Cd 0.000 0.361 0.750
Cd2 Cd 0.000 0.442 0.250
# ΔH_f (0 K)   -1.2 eV per formula unit
# Energy above the lowest structure with this stoichiometry   0.00 eV/f.u.
# Total moment   0.70 μB per cell

no.,uncorrected energy (eV per atom)
1,-7.844
2,-3.432